The following is a PBE-GGA calculation of a relaxed Cs7RbH2 crystal, from Alexandria via LeMat-Bulk.

The structure belongs to space group Cmmm (No. 65); the cell edges are 12.130, 23.737 and 5.403 Å and the angles 90.00°, 90.00° and 90.00°. The distinct sites, in fractional coordinates, are Cs at (0.000, 0.000, 0.000), Cs at (0.000, 0.202, 0.500), Cs at (0.231, 0.366, 0.000), Rb at (0.000, 0.500, 0.500) and H at (0.000, 0.133, 0.000).

The total energy comes out at -1.367 eV per atom.